# 1
! LiTb2Sc, relaxed, DFT PBE; values from VASP
&SYSTEM
  ibrav = 0, nat = 4, ntyp = 3
/
ATOMIC_SPECIES
Tb 158.93 Tb.upf
Sc 44.96 Sc.upf
Li 6.94 Li.upf
CELL_PARAMETERS angstrom
3.3816 0.0000 0.0000
1.6908 2.9286 0.0000
1.6908 0.9762 11.8416
ATOMIC_POSITIONS angstrom
Tb 1.6908 0.9762 8.6049
Tb 5.0724 2.9286 3.2367
Sc 3.3816 1.9524 5.9208
Li 0.0000 0.0000 0.0000
! **Polymorph energy (0 for the lowest one)**: 8.1 kJ per mole of atoms
! **Total energy**: -4.208 eV per atom
! **Space group**: R-3m (166)
! **ΔH_f (0 K)**: 0.17 eV/atom

# 2
! ZrBePd3, relaxed, DFT PBE; values from VASP
&SYSTEM
  ibrav = 0, nat = 5, ntyp = 3
/
ATOMIC_SPECIES
Zr 91.22 Zr.upf
Be 9.01 Be.upf
Pd 106.42 Pd.upf
CELL_PARAMETERS angstrom
4.2901 0.0000 0.0000
0.0000 4.2901 0.0000
0.0000 0.0000 4.2901
ATOMIC_POSITIONS angstrom
Zr 2.1451 2.1451 2.1451
Be 0.0000 0.0000 0.0000
Pd 0.0000 0.0000 2.1451
Pd 2.1451 0.0000 0.0000
Pd 0.0000 2.1451 0.0000
! **Polymorph energy (0 for the lowest one)**: 0.0 kJ per mole of atoms
! **Total energy**: -5.943 eV per atom
! **Space group**: Pm-3m (221)
! **ΔH_f (0 K)**: -0.37 eV/atom

# 3
! SrVIr, relaxed, DFT PBE; values from VASP
&SYSTEM
  ibrav = 0, nat = 6, ntyp = 3
/
ATOMIC_SPECIES
Sr 87.62 Sr.upf
Ir 192.22 Ir.upf
V 50.94 V.upf
CELL_PARAMETERS angstrom
4.0571 0.0000 0.0000
0.0000 4.5460 0.0000
0.0000 0.0000 7.9535
ATOMIC_POSITIONS angstrom
Sr 0.0000 0.0000 3.8643
Sr 2.0286 2.2730 6.4985
Ir 2.0286 2.2730 2.5901
Ir 2.0286 0.0000 1.3275
V 0.0000 0.0000 0.1176
V 0.0000 2.2730 1.2732
! **Polymorph energy (0 for the lowest one)**: 28.3 kJ per mole of atoms
! **Total energy**: -6.523 eV per atom
! **Space group**: Pmm2 (25)
! **ΔH_f (0 K)**: 0.03 eV/atom

# 4
! HfAlAs2Br, relaxed, DFT PBE; values from VASP
&SYSTEM
  ibrav = 0, nat = 5, ntyp = 4
/
ATOMIC_SPECIES
As 74.92 As.upf
Al 26.98 Al.upf
Br 79.90 Br.upf
Hf 178.49 Hf.upf
CELL_PARAMETERS angstrom
4.7059 0.0000 0.0000
0.0000 5.4919 0.0000
0.0000 0.0000 4.7059
ATOMIC_POSITIONS angstrom
As 2.3529 0.0000 0.0000
As 0.0000 0.0000 2.3529
Al 0.0000 0.0000 0.0000
Br 2.3529 2.7459 2.3529
Hf 0.0000 2.7459 0.0000
! **Polymorph energy (0 for the lowest one)**: 48.2 kJ per mole of atoms
! **Total energy**: -4.406 eV per atom
! **Space group**: P4/mmm (123)

- The highest polymorph energy (0 for the lowest one) belongs to which entry?
  HfAlAs2Br